VASP calculation (meta-GGA SCAN) on Ca3InW at its PBEsol-relaxed geometry.

Geometry as POSCAR:
```
Ca3InW
1.0
5.7648 0.0000 0.0000
0.0000 5.7648 0.0000
0.0000 0.0000 5.7648
Ca W In
3 1 1
direct
0.0000 0.5000 0.0000
0.0000 0.0000 0.5000
0.5000 0.0000 0.0000
0.5000 0.5000 0.5000
0.0000 0.0000 0.0000
```

Formation energy from the elements ... 1162.0 meV/atom
Calculated density ... 3.63 g/cm³
Energy above the lowest structure with this stoichiometry ... 22.5 kJ/mol of atoms
Electronic total energy ... -25.2509 eV/atom
N(E_F) ... 2.33 states/eV per cell
Space group ... Pm-3m, No. 221